Entry 1:
Here is a geometry-optimized Pm3In4Ni2 structure from the Alexandria database. Energies are from PBE.

Output
- magnetic moment (μB per atom) = 0.00
- calculated density (Mg/m³) = 7.77
- ΔE_f (eV/atom) = -0.417
- energy (Ry/atom) = -0.331
- N(E_F) (states/eV/atom) = 0.56

abc: 4.5815 6.1253 8.8371
angles: 72.44 74.98 68.04
Closest atoms and distances in Å follow each position.
Element x y z (fractional)
Ni1 0.6015 0.0673 0.7297  3 In 2.66-2.68
Ni2 0.3985 0.9327 0.2703  3 In 2.66-2.68
Pm1 0.3151 0.7400 0.6298  3 Ni 3.01-3.19, 7 In 3.27-3.35
Pm2 0.6849 0.2600 0.3702  3 Ni 3.01-3.19, 7 In 3.27-3.35
Pm3 0.0000 0.0000 0.0000  8 In 3.12-3.43, 4 Ni 3.21
In1 0.7345 0.6196 0.9113  1 Ni 2.66, 2 In 2.91
In2 0.0217 0.3091 0.6475  2 Ni 2.68, 1 In 2.92
In3 0.2655 0.3804 0.0887  1 Ni 2.66, 2 In 2.91
In4 0.9783 0.6909 0.3525  2 Ni 2.68, 1 In 2.92


Entry 2:
Here is a geometry-optimized LiTlPtAu structure from the Alexandria database. Energies are from PBE.

Output
- magnetic moment (μB per atom) = 0.00
- calculated density (Mg/m³) = 14.15
- ΔE_f (eV/atom) = -0.290
- energy (Ry/atom) = -0.271
- N(E_F) (states/eV/atom) = 0.26

abc: 4.6440 4.6440 4.6440
angles: 60.00 60.00 60.00
Closest atoms and distances in Å follow each position.
Element x y z (fractional)
Pt1 0.7500 0.7500 0.7500  4 Tl 2.84, 4 Au 2.84
Au1 0.5000 0.5000 0.5000  4 Li 2.84, 4 Pt 2.84
Li1 0.2500 0.2500 0.2500  4 Tl 2.84, 4 Au 2.84
Tl1 0.0000 0.0000 0.0000  4 Pt 2.84, 4 Li 2.84


Entry 3:
Here is a geometry-optimized TbCd4Ag5 structure from the Alexandria database. Energies are from PBE.

Output
- magnetic moment (μB per atom) = 0.00
- calculated density (Mg/m³) = 9.34
- ΔE_f (eV/atom) = -0.100
- energy (Ry/atom) = -0.173
- N(E_F) (states/eV/atom) = 0.41

abc: 3.4810 3.4810 16.8474
angles: 90.00 90.00 90.00
Closest atoms and distances in Å follow each position.
Element x y z (fractional)
Ag1 0.5000 0.5000 0.6916  8 Cd 2.94-2.97, 2 Ag 3.23-3.27
Ag2 0.5000 0.5000 0.5000  8 Cd 2.95, 2 Ag 3.23
Ag3 0.5000 0.5000 0.8856  4 Cd 2.94, 4 Tb 3.13, 1 Ag 3.27
Ag4 0.5000 0.5000 0.3084  8 Cd 2.94-2.97, 2 Ag 3.23-3.27
Ag5 0.5000 0.5000 0.1144  4 Cd 2.94, 4 Tb 3.13, 1 Ag 3.27
Cd1 0.0000 0.0000 0.2096  8 Ag 2.94-2.97, 1 Cd 3.27
Cd2 0.0000 0.0000 0.7904  8 Ag 2.94-2.97, 1 Cd 3.27
Cd3 0.0000 0.0000 0.4037  8 Ag 2.94-2.95, 2 Cd 3.24-3.27
Cd4 0.0000 0.0000 0.5963  8 Ag 2.94-2.95, 2 Cd 3.24-3.27
Tb1 0.0000 0.0000 0.0000  8 Ag 3.13, 4 Tb 3.48


Entry 4:
Here is a geometry-optimized Gd2CoGe structure from the Alexandria database. Energies are from PBE.

Output
- magnetic moment (μB per atom) = 3.60
- calculated density (Mg/m³) = 6.88
- ΔE_f (eV/atom) = 0.131
- energy (Ry/atom) = -0.723
- N(E_F) (states/eV/atom) = 0.71

abc: 3.6835 3.6835 9.4111
angles: 78.71 78.71 60.00
Closest atoms and distances in Å follow each position.
Element x y z (fractional)
Ge1 0.0000 0.0000 0.0000  2 Gd 2.99
Co1 0.5000 0.5000 0.5000  6 Gd 2.66
Gd1 0.1086 0.1086 0.6741  3 Co 2.66
Gd2 0.8914 0.8914 0.3259  3 Co 2.66


Entry 5:
Here is a geometry-optimized Np2TcAs4 structure from the Alexandria database. Energies are from PBE.

Output
- magnetic moment (μB per atom) = 1.09
- calculated density (Mg/m³) = 9.71
- ΔE_f (eV/atom) = -0.327
- energy (Ry/atom) = -0.600
- N(E_F) (states/eV/atom) = 2.66

abc: 4.0602 4.0602 9.0467
angles: 90.00 90.00 90.00
Closest atoms and distances in Å follow each position.
Element x y z (fractional)
Np1 0.5000 0.0000 0.7492  8 As 3.01-3.03, 2 Tc 3.04
Np2 0.0000 0.5000 0.2508  8 As 3.01-3.03, 2 Tc 3.04
As1 0.5000 0.5000 0.5000  4 As 2.87, 4 Np 3.03
As2 0.0000 0.0000 0.5000  4 As 2.87, 4 Np 3.03
As3 0.5000 0.0000 0.1495  2 Tc 2.44
As4 0.0000 0.5000 0.8505  2 Tc 2.44
Tc1 0.5000 0.5000 0.0000  4 As 2.44


Entry 6:
Here is a geometry-optimized NdSm5TmTh2 structure from the Alexandria database. Energies are from PBE.

Output
- magnetic moment (μB per atom) = 0.00
- calculated density (Mg/m³) = 8.19
- ΔE_f (eV/atom) = 0.335
- energy (Ry/atom) = -0.365
- N(E_F) (states/eV/atom) = 1.41

abc: 8.9239 8.9239 10.0241
angles: 116.43 116.43 90.00
Closest atoms and distances in Å follow each position.
Element x y z (fractional)
Sm1 0.6532 0.1532 0.7243  1 Th 3.05, 1 Tm 3.16
Sm2 0.1532 0.0711 0.7243  1 Th 3.05, 1 Tm 3.16
Sm3 0.0711 0.5711 0.7243  1 Th 3.05, 1 Tm 3.16
Sm4 0.5000 0.5000 0.0000  4 Th 3.56, 8 Sm 3.85, 2 Nd 3.89
Sm5 0.0000 0.0000 0.0000  4 Th 3.56, 8 Sm 3.85, 2 Nd 3.89
Sm6 0.3468 0.8468 0.2757  1 Th 3.05, 1 Tm 3.16
Sm7 0.9289 0.4289 0.2757  1 Th 3.05, 1 Tm 3.16
Sm8 0.5711 0.6532 0.7243  1 Th 3.05, 1 Tm 3.16
Sm9 0.8468 0.9289 0.2757  1 Th 3.05, 1 Tm 3.16
Sm10 0.4289 0.3468 0.2757  1 Th 3.05, 1 Tm 3.16
Th1 0.3808 0.8808 0.0000  1 Th 3.01, 2 Sm 3.05
Th2 0.8808 0.6192 0.0000  1 Th 3.01, 2 Sm 3.05
Th3 0.6192 0.1192 0.0000  1 Th 3.01, 2 Sm 3.05
Th4 0.1192 0.3808 0.0000  1 Th 3.01, 2 Sm 3.05
Nd1 0.7500 0.7500 0.5000  10 Sm 3.64-3.89
Nd2 0.2500 0.2500 0.5000  10 Sm 3.64-3.89
Tm1 0.7500 0.2500 0.5000  4 Sm 3.16
Tm2 0.2500 0.7500 0.5000  4 Sm 3.16


Entry 7:
Here is a geometry-optimized CoAs structure from the Alexandria database. Energies are from PBE.

Output
- magnetic moment (μB per atom) = 0.63
- calculated density (Mg/m³) = 7.85
- ΔE_f (eV/atom) = 0.489
- energy (Ry/atom) = -0.396
- N(E_F) (states/eV/atom) = 1.55

abc: 4.3099 4.3099 4.3099
angles: 60.00 60.00 60.00
Closest atoms and distances in Å follow each position.
Element x y z (fractional)
Co1 0.7500 0.7500 0.7500  4 As 2.64, 4 Co 2.64
Co2 0.5000 0.5000 0.5000  4 As 2.64, 4 Co 2.64
As1 0.0000 0.0000 0.0000  4 As 2.64, 4 Co 2.64
As2 0.2500 0.2500 0.2500  4 As 2.64, 4 Co 2.64


Entry 8:
Here is a geometry-optimized AlIrOs structure from the Alexandria database. Energies are from PBE.

Output
- magnetic moment (μB per atom) = 0.03
- calculated density (Mg/m³) = 15.61
- E above lowest polymorph (eV per atom) = 0.278
- ΔE_f (eV/atom) = -0.004
- energy (Ry/atom) = -0.584
- N(E_F) (states/eV/atom) = 1.07

abc: 6.9450 6.6812 2.7526
angles: 83.78 73.01 23.20
Closest atoms and distances in Å follow each position.
Element x y z (fractional)
Al1 0.0011 0.0011 0.9989  2 Ir 2.50, 2 Os 2.53, 4 Al 2.75
Os1 0.3400 0.3400 0.6600  2 Al 2.53, 6 Os 2.75-2.82, 2 Ir 2.75
Ir1 0.6589 0.6589 0.3411  2 Al 2.50, 4 Ir 2.75, 2 Os 2.75


Entry 9:
Here is a geometry-optimized HfThTi4 structure from the Alexandria database. Energies are from PBE.

Output
- magnetic moment (μB per atom) = 0.44
- calculated density (Mg/m³) = 8.24
- ΔE_f (eV/atom) = 0.147
- energy (Ry/atom) = -0.589
- N(E_F) (states/eV/atom) = 1.52

abc: 5.5556 5.5556 5.5556
angles: 60.00 60.00 60.00
Closest atoms and distances in Å follow each position.
Element x y z (fractional)
Th1 0.2500 0.2500 0.2500  12 Ti 3.26, 4 Hf 3.40
Ti1 0.6261 0.6261 0.1217  6 Ti 2.75-2.80
Ti2 0.6261 0.6261 0.6261  6 Ti 2.75-2.80
Ti3 0.6261 0.1217 0.6261  6 Ti 2.75-2.80
Ti4 0.1217 0.6261 0.6261  6 Ti 2.75-2.80
Hf1 0.0000 0.0000 0.0000  12 Ti 3.25, 4 Th 3.40


Entry 10:
Here is a geometry-optimized CdTcAg2 structure from the Alexandria database. Energies are from PBE.

Output
- magnetic moment (μB per atom) = 0.00
- calculated density (Mg/m³) = 10.13
- ΔE_f (eV/atom) = 0.414
- energy (Ry/atom) = -0.282
- N(E_F) (states/eV/atom) = 0.71

abc: 4.8198 2.7495 5.2690
angles: 89.97 90.00 90.00
Closest atoms and distances in Å follow each position.
Element x y z (fractional)
Ag1 0.5000 0.3746 0.2128  6 Ag 2.75-2.94, 4 Tc 2.95-3.00, 2 Cd 2.96
Ag2 0.0000 0.8754 0.0290  6 Ag 2.75-2.94, 2 Tc 2.91, 4 Cd 2.92-3.02
Tc1 0.5000 0.8747 0.7179  2 Tc 2.75, 6 Ag 2.91-3.00, 4 Cd 2.93
Cd1 0.0000 0.3754 0.5403  2 Cd 2.75, 6 Ag 2.92-3.02, 4 Tc 2.93


Entry 11:
Here is a geometry-optimized Nd6Er2Mg structure from the Alexandria database. Energies are from PBE.

Output
- magnetic moment (μB per atom) = 0.00
- calculated density (Mg/m³) = 6.88
- E above lowest polymorph (eV per atom) = 0.037
- ΔE_f (eV/atom) = 0.061
- energy (Ry/atom) = -0.317
- N(E_F) (states/eV/atom) = 1.23

abc: 6.1392 11.6105 11.6105
angles: 48.28 105.32 105.32
Closest atoms and distances in Å follow each position.
Element x y z (fractional)
Nd1 0.9198 0.9198 0.4198  5 Nd 3.25-3.64, 1 Mg 3.44, 4 Er 3.54-3.58
Nd2 0.2683 0.8455 0.9953  6 Nd 3.38-3.64, 2 Mg 3.39-3.53, 1 Er 3.58
Nd3 0.5722 0.3456 0.4955  2 Mg 3.38-3.54, 6 Nd 3.38-3.64, 1 Er 3.58
Nd4 0.0722 0.4955 0.3456  2 Mg 3.38-3.54, 6 Nd 3.38-3.64, 1 Er 3.58
Nd5 0.9278 0.5045 0.6544  2 Mg 3.38-3.54, 6 Nd 3.38-3.64, 1 Er 3.58
Nd6 0.2317 0.0047 0.1545  6 Nd 3.38-3.64, 2 Mg 3.39-3.53, 1 Er 3.58
Nd7 0.4278 0.6544 0.5045  2 Mg 3.38-3.54, 6 Nd 3.38-3.64, 1 Er 3.58
Nd8 0.4198 0.4198 0.9198  5 Nd 3.25-3.64, 1 Mg 3.44, 4 Er 3.54-3.58
Nd9 0.5802 0.5802 0.0802  5 Nd 3.25-3.64, 1 Mg 3.44, 4 Er 3.54-3.58
Nd10 0.7317 0.1545 0.0047  6 Nd 3.38-3.64, 2 Mg 3.39-3.53, 1 Er 3.58
Nd11 0.0802 0.0802 0.5802  5 Nd 3.25-3.64, 1 Mg 3.44, 4 Er 3.54-3.58
Nd12 0.7683 0.9953 0.8455  6 Nd 3.38-3.64, 2 Mg 3.39-3.53, 1 Er 3.58
Er1 0.5522 0.1708 0.3296  3 Er 3.30-3.42, 6 Nd 3.54-3.58
Er2 0.9478 0.6704 0.8292  3 Er 3.30-3.42, 6 Nd 3.54-3.58
Er3 0.0522 0.3296 0.1708  3 Er 3.30-3.42, 6 Nd 3.54-3.58
Er4 0.4478 0.8292 0.6704  3 Er 3.30-3.42, 6 Nd 3.54-3.58
Mg1 0.7500 0.7502 0.2498  10 Nd 3.38-3.54
Mg2 0.2500 0.2498 0.7502  10 Nd 3.38-3.54


Entry 12:
Here is a geometry-optimized LaNb2PbW structure from the Alexandria database. Energies are from PBE.

Output
- magnetic moment (μB per atom) = 0.00
- calculated density (Mg/m³) = 8.60
- ΔE_f (eV/atom) = 0.922
- energy (Ry/atom) = -0.546
- N(E_F) (states/eV/atom) = 1.13

abc: 4.9088 5.7371 4.9088
angles: 90.00 90.00 90.00
Closest atoms and distances in Å follow each position.
Element x y z (fractional)
La1 0.0000 0.5000 0.0000  2 W 2.87
Nb1 0.5000 0.0000 0.0000  2 W 2.45
Nb2 0.0000 0.0000 0.5000  2 W 2.45
Pb1 0.5000 0.5000 0.5000  4 La 3.47, 8 Nb 3.78
W1 0.0000 0.0000 0.0000  4 Nb 2.45